(1)
A plane-wave DFT calculation with GGA-PBE was carried out for a relaxed structure of Rb3Tm2TlO6.

Unit cell a=6.017 b=6.017 c=6.851 alpha=98.39 beta=98.39 gamma=120.01
Positions (direct):
Rb (0.164, 0.836, 0.500)
Rb (0.836, 0.164, 0.500)
Rb (0.500, 0.500, 0.500)
Tm (0.333, 0.667, 0.000)
Tm (0.667, 0.333, 0.000)
Tl (0.000, 0.000, 0.000)
O (0.940, 0.593, 0.820)
O (0.713, 0.713, 0.179)
O (0.060, 0.407, 0.180)
O (0.593, 0.940, 0.820)
O (0.287, 0.287, 0.821)
O (0.407, 0.060, 0.180)

The calculation puts the formation energy without anion corrections at -2.135 eV/atom. The value obtained for the total magnetic moment is 0.000 μB per cell. The calculation puts the density of states at the Fermi level at 0.000 states/eV/f.u.

***

(2)
A plane-wave DFT calculation with GGA-PBE was carried out for a relaxed structure of CsAsI2N.

Unit cell a=6.814 b=6.814 c=4.486 alpha=90.00 beta=90.00 gamma=90.00
Positions (direct):
Cs (0.000, 0.000, 0.000)
I (0.000, 0.500, 0.000)
I (0.500, 0.000, 0.000)
As (0.500, 0.500, 0.500)
N (0.000, 0.000, 0.500)

The calculation puts the formation energy without anion corrections at 1.474 eV/atom. The value obtained for the total magnetic moment is 3.279 μB per cell. The calculation puts the density of states at the Fermi level at 7.561 states/eV/f.u.